{
  "formula": "Y5Ni2Au",
  "functional": "PBE-GGA",
  "state": "relaxed",
  "cell": [[-3.8176, 3.8176, 6.5479], [3.8176, -3.8176, 6.5479], [3.8176, 3.8176, -6.5479]],
  "species": ["Y", "Y", "Y", "Y", "Y", "Y", "Y", "Y", "Y", "Y", "Ni", "Ni", "Ni", "Ni", "Au", "Au"],
  "frac_coords": [[0.0000, 0.0000, 0.0000], [0.0241, 0.5241, 0.8256], [0.1985, 0.0241, 0.5000], [0.3015, 0.8015, 0.8256], [0.4759, 0.3015, 0.5000], [0.5000, 0.5000, 0.0000], [0.5241, 0.6985, 0.5000], [0.6985, 0.1985, 0.1744], [0.8015, 0.9759, 0.5000], [0.9759, 0.4759, 0.1744], [0.1249, 0.3751, 0.5000], [0.3751, 0.8751, 0.2501], [0.6249, 0.1249, 0.7499], [0.8751, 0.6249, 0.5000], [0.2500, 0.2500, 0.0000], [0.7500, 0.7500, 0.0000]],
  "e_form_ev_per_atom": -0.448,
  "sg": "I4/mcm"
}